Si2SnBr8 | PBE-GGA | optimized geometry

Computed properties:
* total DFT energy (no corrections): -34.05 eV/cell
* total magnetization: 0.00 μB per cell
* energy relative to the elements, uncorrected: -12.20 kcal/mol of atoms
* symmetry: C2/m, No. 12

Cell lengths 8.4134, 8.4134, 7.4559 Å; angles 92.39, 92.39, 67.27 degrees
With the nearest neighbours (Å) after each atom.
Positions (direct):
Si 0.1914 0.1914 0.1430  4 Br 2.27-2.48
Si 0.8086 0.8086 0.8570  4 Br 2.27-2.48
Sn 0.0000 0.0000 0.5000  6 Br 2.91-3.08
Br 0.0555 0.6623 0.6858  1 Si 2.36
Br 0.1144 0.1144 0.8363  1 Si 2.48
Br 0.3377 0.9445 0.3142  1 Si 2.36
Br 0.3532 0.3532 0.1767  1 Si 2.27
Br 0.6468 0.6468 0.8233  1 Si 2.27
Br 0.6623 0.0555 0.6858  1 Si 2.36
Br 0.8856 0.8856 0.1637  1 Si 2.48
Br 0.9445 0.3377 0.3142  1 Si 2.36

Pm2DyMnN4 | PBE-GGA | optimized geometry

Computed properties:
* total DFT energy (no corrections): -129.13 eV/cell
* total magnetization: 0.00 μB per cell
* energy relative to the elements, uncorrected: -23.03 kcal/mol of atoms
* symmetry: Cmcm, No. 63

Cell lengths 6.0913, 6.0913, 11.9072 Å; angles 90.00, 90.00, 147.48 degrees
With the nearest neighbours (Å) after each atom.
Positions (direct):
Pm 0.1327 0.8673 0.5431  6 N 2.36-2.62
Pm 0.1327 0.8673 0.9569  6 N 2.36-2.62
Pm 0.8673 0.1327 0.0431  6 N 2.36-2.62
Pm 0.8673 0.1327 0.4569  6 N 2.36-2.62
Dy 0.3754 0.6246 0.7500  4 N 2.47
Dy 0.6246 0.3754 0.2500  4 N 2.47
Mn 0.3449 0.6551 0.2500  4 N 1.89-1.90
Mn 0.6551 0.3449 0.7500  4 N 1.89-1.90
N 0.0845 0.9155 0.7500  2 Mn 1.90
N 0.2286 0.7714 0.1395  1 Mn 1.89
N 0.2286 0.7714 0.3605  1 Mn 1.89
N 0.5000 0.5000 0.0000  4 Pm 2.36
N 0.5000 0.5000 0.5000  4 Pm 2.36
N 0.7714 0.2286 0.6395  1 Mn 1.89
N 0.7714 0.2286 0.8605  1 Mn 1.89
N 0.9155 0.0845 0.2500  2 Mn 1.90

SrHfRe2Cl | PBE-GGA | optimized geometry

Computed properties:
* total DFT energy (no corrections): -31.16 eV/cell
* total magnetization: 2.74 μB per cell
* energy relative to the elements, uncorrected: 33.29 kcal/mol of atoms
* symmetry: P4/mmm, No. 123

Cell lengths 4.7761, 4.7761, 7.1298 Å; angles 90.00, 90.00, 90.00 degrees
With the nearest neighbours (Å) after each atom.
Positions (direct):
Sr 0.0000 0.0000 0.0000  4 Cl 3.38, 2 Hf 3.56
Hf 0.0000 0.0000 0.5000  4 Re 2.39
Re 0.0000 0.5000 0.5000  2 Hf 2.39
Re 0.5000 0.0000 0.5000  2 Hf 2.39
Cl 0.5000 0.5000 0.0000  4 Sr 3.38

Y2Al3AgPt4 | PBE-GGA | optimized geometry

Computed properties:
* total DFT energy (no corrections): -60.90 eV/cell
* total magnetization: 0.00 μB per cell
* symmetry: P-4m2, No. 115
* energy relative to the elements: -93.85 kJ/mol of atoms

Cell lengths 4.0439, 4.0439, 11.5599 Å; angles 90.00, 90.00, 90.00 degrees
With the nearest neighbours (Å) after each atom.
Positions (direct):
Y 0.0000 0.5000 0.2461  4 Pt 3.02, 4 Al 3.22
Y 0.5000 0.0000 0.7539  4 Pt 3.02, 4 Al 3.22
Al 0.0000 0.0000 0.0000  4 Pt 2.76, 4 Ag 2.86
Al 0.0000 0.5000 0.6265  5 Pt 2.44-2.50
Al 0.5000 0.0000 0.3735  5 Pt 2.44-2.50
Ag 0.5000 0.5000 0.0000  4 Pt 2.76, 4 Al 2.86
Pt 0.0000 0.0000 0.5000  4 Al 2.50
Pt 0.0000 0.5000 0.8378  1 Al 2.44
Pt 0.5000 0.0000 0.1622  1 Al 2.44
Pt 0.5000 0.5000 0.5000  4 Al 2.50

CrSbAs2 | PBE-GGA | optimized geometry

Computed properties:
* total DFT energy (no corrections): -84.51 eV/cell
* total magnetization: 16.10 μB per cell
* energy relative to the elements, uncorrected: 11.06 kcal/mol of atoms
* symmetry: F-43m, No. 216

Cell lengths 6.8756, 6.8756, 6.8756 Å; angles 90.00, 90.00, 90.00 degrees
With the nearest neighbours (Å) after each atom.
Positions (direct):
Cr 0.0000 0.0000 0.0000  4 As 2.98, 4 Sb 2.98
Cr 0.0000 0.5000 0.5000  4 Sb 2.98, 4 As 2.98
Cr 0.5000 0.0000 0.5000  4 Sb 2.98, 4 As 2.98
Cr 0.5000 0.5000 0.0000  4 As 2.98, 4 Sb 2.98
Sb 0.2500 0.2500 0.7500  4 Cr 2.98, 4 As 2.98
Sb 0.2500 0.7500 0.2500  4 Cr 2.98, 4 As 2.98
Sb 0.7500 0.2500 0.2500  4 Cr 2.98, 4 As 2.98
Sb 0.7500 0.7500 0.7500  4 Cr 2.98, 4 As 2.98
As 0.0000 0.0000 0.5000  4 As 2.98, 4 Sb 2.98
As 0.0000 0.5000 0.0000  4 As 2.98, 4 Sb 2.98
As 0.2500 0.2500 0.2500  4 Cr 2.98, 4 As 2.98
As 0.2500 0.7500 0.7500  4 Cr 2.98, 4 As 2.98
As 0.5000 0.0000 0.0000  4 As 2.98, 4 Sb 2.98
As 0.5000 0.5000 0.5000  4 As 2.98, 4 Sb 2.98
As 0.7500 0.2500 0.7500  4 Cr 2.98, 4 As 2.98
As 0.7500 0.7500 0.2500  4 Cr 2.98, 4 As 2.98

KHgBiTe2 | PBE-GGA | optimized geometry

Computed properties:
* total DFT energy (no corrections): -11.60 eV/cell
* total magnetization: 0.00 μB per cell
* energy relative to the elements, uncorrected: -0.19 kcal/mol of atoms
* symmetry: P4/mmm, No. 123

Cell lengths 5.9980, 5.9980, 6.8607 Å; angles 90.00, 90.00, 90.00 degrees
With the nearest neighbours (Å) after each atom.
Positions (direct):
K 0.0000 0.0000 0.0000  2 Bi 3.43
Hg 0.5000 0.5000 0.0000  4 K 4.24, 8 Te 4.56
Bi 0.0000 0.0000 0.5000  4 Te 3.00
Te 0.0000 0.5000 0.5000  2 Bi 3.00
Te 0.5000 0.0000 0.5000  2 Bi 3.00

MgNpNi2 | PBE-GGA | optimized geometry

Computed properties:
* total DFT energy (no corrections): -26.09 eV/cell
* total magnetization: 3.80 μB per cell
* symmetry: P4/mmm, No. 123
* energy relative to the elements: 0.26 kJ/mol of atoms

Cell lengths 4.7661, 4.7661, 2.8434 Å; angles 90.00, 90.00, 90.00 degrees
With the nearest neighbours (Å) after each atom.
Positions (direct):
Mg 0.0000 0.0000 0.0000  8 Ni 2.77, 2 Mg 2.84
Np 0.5000 0.5000 0.0000  8 Ni 2.77, 2 Np 2.84
Ni 0.0000 0.5000 0.5000  4 Mg 2.77, 4 Np 2.77, 2 Ni 2.84
Ni 0.5000 0.0000 0.5000  4 Mg 2.77, 4 Np 2.77, 2 Ni 2.84